1.
! KAlH3 PBE-GGA relaxed; values from VASP
&SYSTEM
  ibrav = 0, nat = 5, ntyp = 3
/
ATOMIC_SPECIES
K 39.10 K.upf
H 1.01 H.upf
Al 26.98 Al.upf
ATOMIC_POSITIONS angstrom
K 0.0000 0.0000 0.0000
H 0.0000 2.1926 0.0000
H 2.1926 0.0000 0.0000
H 0.0000 0.0000 2.1926
Al 2.1926 2.1926 2.1926
CELL_PARAMETERS angstrom
4.3853 0.0000 0.0000
0.0000 4.3853 0.0000
0.0000 0.0000 4.3853
! Distance to the lowest polymorph of the same formula ... 1223.3 meV/atom
! DFT total energy ... -9.73 eV for the cell shown


2.
! MgBrO2 PBE-GGA relaxed; values from VASP
&SYSTEM
  ibrav = 0, nat = 4, ntyp = 3
/
ATOMIC_SPECIES
O 16.00 O.upf
Mg 24.30 Mg.upf
Br 79.90 Br.upf
ATOMIC_POSITIONS angstrom
O 1.5152 1.4699 1.0739
O 5.3812 1.4699 -0.6882
Mg 3.4482 1.4699 0.1928
Br 0.0000 0.0000 0.0000
CELL_PARAMETERS angstrom
6.8964 0.0000 0.3857
1.8026 1.4699 -2.4323
-1.8026 1.4699 2.4323
! ΔE_f (raw) ... -0.781 eV per atom
! Distance to the lowest polymorph of the same formula ... 432.8 meV/atom
! DFT total energy ... -16.31 eV for the cell shown


3.
! ErTmMgPb PBE-GGA relaxed; values from VASP
&SYSTEM
  ibrav = 0, nat = 4, ntyp = 4
/
ATOMIC_SPECIES
Pb 207.20 Pb.upf
Tm 168.93 Tm.upf
Mg 24.30 Mg.upf
Er 167.26 Er.upf
ATOMIC_POSITIONS angstrom
Pb 0.0000 0.0000 0.0000
Tm -4.9382 -7.5400 3.7648
Mg -3.2921 -5.0267 2.5099
Er -1.6461 -2.5133 1.2549
CELL_PARAMETERS angstrom
-3.8924 -1.4086 3.3369
-3.1065 -4.1607 -1.1440
0.4147 -4.4841 2.8268
! Formation enthalpy at 0 K ... -0.23 eV per atom
! DFT total energy ... -15.26 eV for the cell shown


These records have total moment values of 0.00, 0.00, 0.00 μB per cell, in the order they appear.